*1*
A plane-wave DFT calculation with PBE was carried out for an optimized crystal structure of PdRuW2.

Unit cell a=6.2909 b=6.2909 c=6.2909 alpha=90.00 beta=90.00 gamma=90.00
Last column: nearest neighbours and their distance in Å.
Space group Fm-3m (No. 225)
Unique sites:
1 Pd 0.0000 0.0000 0.0000 (multiplicity 4)  8 W 2.72
2 Ru 0.0000 0.0000 0.5000 (multiplicity 4)  8 W 2.72
3 W 0.2500 0.2500 0.2500 (multiplicity 8)  4 Ru 2.72, 4 Pd 2.72

*2*
A plane-wave DFT calculation with PBE was carried out for an optimized crystal structure of PdRuW2.

Unit cell a=7.0583 b=7.0583 c=5.4084 alpha=90.00 beta=90.00 gamma=90.00
Last column: nearest neighbours and their distance in Å.
Space group I-42d (No. 122)
Unique sites:
1 Pd 0.0000 0.0000 0.0000 (multiplicity 4)  4 W 2.70, 2 Ru 2.70
2 Ru 0.0000 0.0000 0.5000 (multiplicity 4)  4 W 2.48, 2 Pd 2.70
3 W 0.2273 0.2500 0.6250 (multiplicity 8)  2 Ru 2.48, 2 Pd 2.70, 2 W 2.72

Sorted by energy, starting with the most stable: *1*, *2*.

*1*
A plane-wave DFT calculation with PBE was carried out for an optimized crystal structure of PdRu3W.

Unit cell a=4.6582 b=4.6582 c=4.6582 alpha=90.00 beta=90.00 gamma=90.00
Last column: nearest neighbours and their distance in Å.
Space group Pm-3m (No. 221)
Unique sites:
1 Pd 0.0000 0.0000 0.0000 (multiplicity 1)  12 Ru 3.29
2 Ru 0.0000 0.5000 0.5000 (multiplicity 3)  2 W 2.33
3 W 0.5000 0.5000 0.5000 (multiplicity 1)  6 Ru 2.33

*2*
A plane-wave DFT calculation with PBE was carried out for an optimized crystal structure of PdRu3W.

Unit cell a=5.1647 b=5.1647 c=13.2694 alpha=90.00 beta=90.00 gamma=120.00
Last column: nearest neighbours and their distance in Å.
Space group R-3m (No. 166, hexagonal axes)
Unique sites:
1 Pd 0.0000 0.0000 0.0000 (multiplicity 3)  6 Ru 2.67
2 Ru 0.0000 0.5000 0.5000 (multiplicity 9)  2 W 2.58, 4 Ru 2.58, 2 Pd 2.67
3 W 0.0000 0.0000 0.5000 (multiplicity 3)  6 Ru 2.58

*3*
A plane-wave DFT calculation with PBE was carried out for an optimized crystal structure of PdRu3W.

Unit cell a=4.6247 b=4.6247 c=4.6247 alpha=90.00 beta=90.00 gamma=90.00
Last column: nearest neighbours and their distance in Å.
Space group Pm-3m (No. 221)
Unique sites:
1 Pd 0.0000 0.0000 0.0000 (multiplicity 1)  6 Ru 2.31
2 Ru 0.0000 0.0000 0.5000 (multiplicity 3)  2 Pd 2.31
3 W 0.5000 0.5000 0.5000 (multiplicity 1)  12 Ru 3.27

Sorted by energy, starting with the most stable: *2*, *1*, *3*.

*1*
A plane-wave DFT calculation with PBE was carried out for an optimized crystal structure of PdRu2W.

Unit cell a=3.9331 b=3.9331 c=3.7771 alpha=90.00 beta=90.00 gamma=90.00
Last column: nearest neighbours and their distance in Å.
Space group P4/mmm (No. 123)
Unique sites:
1 Pd 0.0000 0.0000 0.0000 (multiplicity 1)  8 Ru 2.73, 4 W 2.78
2 Ru 0.0000 0.5000 0.5000 (multiplicity 2)  4 W 2.73, 4 Pd 2.73, 4 Ru 2.78
3 W 0.5000 0.5000 0.0000 (multiplicity 1)  8 Ru 2.73, 4 Pd 2.78

*2*
A plane-wave DFT calculation with PBE was carried out for an optimized crystal structure of PdRu2W.

Unit cell a=5.8238 b=5.8238 c=10.2854 alpha=90.00 beta=90.00 gamma=90.00
Last column: nearest neighbours and their distance in Å.
Space group I-42d (No. 122)
Unique sites:
1 Pd 0.0000 0.0000 0.0000 (multiplicity 4)  4 Ru 2.45
2 Ru 0.2425 0.2500 0.6250 (multiplicity 8)  2 W 2.40, 2 Pd 2.45
3 W 0.0000 0.0000 0.5000 (multiplicity 4)  4 Ru 2.40

Sorted by energy, starting with the most stable: *1*, *2*.

*1*
A plane-wave DFT calculation with PBE was carried out for an optimized crystal structure of Pd2RuW.

Unit cell a=6.2501 b=6.2501 c=6.2501 alpha=90.00 beta=90.00 gamma=90.00
Last column: nearest neighbours and their distance in Å.
Space group Fm-3m (No. 225)
Unique sites:
1 Pd 0.2500 0.2500 0.2500 (multiplicity 8)  4 W 2.71, 4 Ru 2.71
2 Ru 0.0000 0.0000 0.0000 (multiplicity 4)  8 Pd 2.71
3 W 0.0000 0.0000 0.5000 (multiplicity 4)  8 Pd 2.71

*2*
A plane-wave DFT calculation with PBE was carried out for an optimized crystal structure of Pd2RuW.

Unit cell a=7.1409 b=7.1409 c=5.1996 alpha=90.00 beta=90.00 gamma=90.00
Last column: nearest neighbours and their distance in Å.
Space group I-42d (No. 122)
Unique sites:
1 Pd 0.2349 0.2500 0.1250 (multiplicity 8)  2 W 2.53, 2 Pd 2.61, 2 Ru 2.68
2 Ru 0.0000 0.0000 0.5000 (multiplicity 4)  2 W 2.60, 4 Pd 2.68
3 W 0.0000 0.0000 0.0000 (multiplicity 4)  4 Pd 2.53, 2 Ru 2.60

Sorted by energy, starting with the most stable: *1*, *2*.

*1*
A plane-wave DFT calculation with PBE was carried out for an optimized crystal structure of Y4PdRu.

Unit cell a=8.3099 b=12.1879 c=6.3168 alpha=90.00 beta=104.15 gamma=90.00
Last column: nearest neighbours and their distance in Å.
Space group C2/c (No. 15)
Unique sites:
1 Y 0.0990 0.1748 0.0334 (multiplicity 8)  2 Ru 2.75-2.79, 1 Pd 3.00
2 Y 0.1958 0.4245 0.4327 (multiplicity 8)  2 Pd 2.94-3.03, 2 Ru 2.96-3.17
3 Pd 0.0000 0.3727 0.7500 (multiplicity 4)  6 Y 2.94-3.03
4 Ru 0.0000 0.0011 0.2500 (multiplicity 4)  6 Y 2.75-2.96

*2*
A plane-wave DFT calculation with PBE was carried out for an optimized crystal structure of Y4PdRu.

Unit cell a=9.2842 b=13.8297 c=6.8770 alpha=90.00 beta=132.43 gamma=90.00
Last column: nearest neighbours and their distance in Å.
Space group C2/c (No. 15)
Unique sites:
1 Y 0.2136 0.2504 0.2219 (multiplicity 8)  1 Ru 2.74, 2 Pd 2.96-3.07
2 Y 0.2415 0.0016 0.7771 (multiplicity 8)  1 Ru 2.75, 1 Pd 2.95
3 Pd 0.0000 0.3748 0.7500 (multiplicity 4)  8 Y 2.95-3.08
4 Ru 0.0000 0.1246 0.2500 (multiplicity 4)  4 Y 2.74-2.75

Sorted by energy, starting with the most stable: *1*, *2*.

*1*
A plane-wave DFT calculation with PBE was carried out for an optimized crystal structure of ZrPdRu3.

Unit cell a=4.7432 b=4.7432 c=4.7432 alpha=90.00 beta=90.00 gamma=90.00
Last column: nearest neighbours and their distance in Å.
Space group Pm-3m (No. 221)
Unique sites:
1 Zr 0.0000 0.0000 0.0000 (multiplicity 1)  6 Ru 2.37
2 Pd 0.5000 0.5000 0.5000 (multiplicity 1)  12 Ru 3.35
3 Ru 0.0000 0.0000 0.5000 (multiplicity 3)  2 Zr 2.37

*2*
A plane-wave DFT calculation with PBE was carried out for an optimized crystal structure of ZrPdRu3.

Unit cell a=4.6859 b=4.6859 c=4.6859 alpha=90.00 beta=90.00 gamma=90.00
Last column: nearest neighbours and their distance in Å.
Space group Pm-3m (No. 221)
Unique sites:
1 Zr 0.0000 0.0000 0.0000 (multiplicity 1)  12 Ru 3.31
2 Pd 0.5000 0.5000 0.5000 (multiplicity 1)  6 Ru 2.34
3 Ru 0.0000 0.5000 0.5000 (multiplicity 3)  2 Pd 2.34

Sorted by energy, starting with the most stable: *2*, *1*.

*1*
A plane-wave DFT calculation with PBE was carried out for an optimized crystal structure of Zr2PdRu2.

Unit cell a=7.2888 b=7.2888 c=3.3608 alpha=90.00 beta=90.00 gamma=90.00
Last column: nearest neighbours and their distance in Å.
Space group P4/mbm (No. 127)
Unique sites:
1 Zr 0.1714 0.3286 0.0000 (multiplicity 4)  6 Ru 2.63-2.79
2 Pd 0.0000 0.0000 0.5000 (multiplicity 2)  4 Ru 2.85, 8 Zr 3.18
3 Ru 0.1318 0.6318 0.5000 (multiplicity 4)  6 Zr 2.63-2.79, 1 Ru 2.72, 2 Pd 2.85

*2*
A plane-wave DFT calculation with PBE was carried out for an optimized crystal structure of Zr2PdRu2.

Unit cell a=7.5292 b=7.5292 c=3.2011 alpha=90.00 beta=90.00 gamma=90.00
Last column: nearest neighbours and their distance in Å.
Space group P4/mbm (No. 127)
Unique sites:
1 Zr 0.1548 0.3452 0.0000 (multiplicity 4)  6 Ru 2.68-2.76, 2 Pd 2.85
2 Pd 0.0000 0.0000 0.0000 (multiplicity 2)  4 Zr 2.85
3 Ru 0.1432 0.6432 0.5000 (multiplicity 4)  6 Zr 2.68-2.76

*3*
A plane-wave DFT calculation with PBE was carried out for an optimized crystal structure of Zr2PdRu2.

Unit cell a=3.5682 b=3.5682 c=15.0196 alpha=90.00 beta=90.00 gamma=90.00
Last column: nearest neighbours and their distance in Å.
Space group I4/mmm (No. 139)
Unique sites:
1 Zr 0.0000 0.0000 0.1053 (multiplicity 4)  4 Ru 2.81, 4 Pd 2.98
2 Pd 0.0000 0.0000 0.5000 (multiplicity 2)  8 Zr 2.98
3 Ru 0.0000 0.5000 0.2500 (multiplicity 4)  4 Ru 2.52, 4 Zr 2.81

Sorted by energy, starting with the most stable: *1*, *2*, *3*.

*1*
A plane-wave DFT calculation with PBE was carried out for an optimized crystal structure of Sb2Pd4S.

Unit cell a=6.8131 b=5.6676 c=6.9701 alpha=90.00 beta=106.04 gamma=90.00
Last column: nearest neighbours and their distance in Å.
Space group P2_1/m (No. 11)
Unique sites:
1 Sb 0.1800 0.2500 0.4212 (multiplicity 2)  6 Pd 2.73-2.90, 1 S 3.03
2 Sb 0.2647 0.2500 0.9270 (multiplicity 2)  4 Pd 2.72-2.82
3 Pd 0.1008 0.7500 0.9569 (multiplicity 2)  1 S 2.41
4 Pd 0.1028 0.7500 0.3540 (multiplicity 2)  1 S 2.42
5 Pd 0.4396 0.5098 0.2686 (multiplicity 4)  1 S 2.37
6 S 0.2823 0.7500 0.7054 (multiplicity 2)  4 Pd 2.37-2.42

*2*
A plane-wave DFT calculation with PBE was carried out for an optimized crystal structure of Sb2Pd4S.

Unit cell a=4.5344 b=4.5344 c=14.0443 alpha=90.00 beta=90.00 gamma=90.00
Last column: nearest neighbours and their distance in Å.
Space group I4/mmm (No. 139)
Unique sites:
1 Sb 0.0000 0.0000 0.1483 (multiplicity 4)  1 Pd 2.60
2 Pd 0.0000 0.0000 0.3336 (multiplicity 4)  1 S 2.34, 1 Sb 2.60
3 Pd 0.0000 0.5000 0.0000 (multiplicity 4)  2 S 2.27
4 S 0.0000 0.0000 0.5000 (multiplicity 2)  6 Pd 2.27-2.34

Sorted by energy, starting with the most stable: *1*, *2*.

*1*
A plane-wave DFT calculation with PBE was carried out for an optimized crystal structure of SbTe2PdS.

Unit cell a=5.1809 b=5.1809 c=5.1733 alpha=90.00 beta=90.00 gamma=90.00
Last column: nearest neighbours and their distance in Å.
Space group P4/mmm (No. 123)
Unique sites:
1 Sb 0.0000 0.0000 0.0000 (multiplicity 1)  2 S 2.59
2 Te 0.0000 0.5000 0.5000 (multiplicity 2)  2 S 2.59
3 Pd 0.5000 0.5000 0.0000 (multiplicity 1)  8 Te 3.66, 4 Sb 3.66
4 S 0.0000 0.0000 0.5000 (multiplicity 1)  2 Sb 2.59, 4 Te 2.59

*2*
A plane-wave DFT calculation with PBE was carried out for an optimized crystal structure of SbTe2PdS.

Unit cell a=5.2543 b=5.2543 c=5.1906 alpha=90.00 beta=90.00 gamma=90.00
Last column: nearest neighbours and their distance in Å.
Space group P4/mmm (No. 123)
Unique sites:
1 Sb 0.0000 0.0000 0.0000 (multiplicity 1)  2 Pd 2.60
2 Te 0.0000 0.5000 0.5000 (multiplicity 2)  2 Pd 2.63
3 Pd 0.0000 0.0000 0.5000 (multiplicity 1)  2 Sb 2.60, 4 Te 2.63
4 S 0.5000 0.5000 0.0000 (multiplicity 1)  8 Te 3.69, 4 Sb 3.72

Sorted by energy, starting with the most stable: *2*, *1*.

*1*
A plane-wave DFT calculation with PBE was carried out for an optimized crystal structure of Sb2TePdS.

Unit cell a=5.1895 b=5.1895 c=5.2731 alpha=90.00 beta=90.00 gamma=90.00
Last column: nearest neighbours and their distance in Å.
Space group P4/mmm (No. 123)
Unique sites:
1 Sb 0.0000 0.5000 0.0000 (multiplicity 2)  2 Pd 2.59
2 Te 0.0000 0.0000 0.5000 (multiplicity 1)  2 Pd 2.64
3 Pd 0.0000 0.0000 0.0000 (multiplicity 1)  4 Sb 2.59, 2 Te 2.64
4 S 0.5000 0.5000 0.5000 (multiplicity 1)  4 Te 3.67, 8 Sb 3.70

*2*
A plane-wave DFT calculation with PBE was carried out for an optimized crystal structure of Sb2TePdS.

Unit cell a=5.1689 b=5.1689 c=5.1291 alpha=90.00 beta=90.00 gamma=90.00
Last column: nearest neighbours and their distance in Å.
Space group P4/mmm (No. 123)
Unique sites:
1 Sb 0.0000 0.5000 0.0000 (multiplicity 2)  2 S 2.58
2 Te 0.0000 0.0000 0.5000 (multiplicity 1)  2 S 2.56
3 Pd 0.5000 0.5000 0.5000 (multiplicity 1)  8 Sb 3.64, 4 Te 3.65
4 S 0.0000 0.0000 0.0000 (multiplicity 1)  2 Te 2.56, 4 Sb 2.58

Sorted by energy, starting with the most stable: *1*, *2*.

*1*
A plane-wave DFT calculation with PBE was carried out for an optimized crystal structure of PdSe3S.

Unit cell a=4.8049 b=4.8049 c=4.8049 alpha=90.00 beta=90.00 gamma=90.00
Last column: nearest neighbours and their distance in Å.
Space group Pm-3m (No. 221)
Unique sites:
1 Pd 0.0000 0.0000 0.0000 (multiplicity 1)  12 Se 3.40
2 Se 0.0000 0.5000 0.5000 (multiplicity 3)  2 S 2.40
3 S 0.5000 0.5000 0.5000 (multiplicity 1)  6 Se 2.40

*2*
A plane-wave DFT calculation with PBE was carried out for an optimized crystal structure of PdSe3S.

Unit cell a=5.8319 b=6.7709 c=7.3836 alpha=80.31 beta=68.55 gamma=66.95
Last column: nearest neighbours and their distance in Å.
Space group P-1 (No. 2)
Unique sites:
1 Pd 0.0000 0.0000 0.0000 (multiplicity 1)  4 Se 2.53-2.54
2 Pd 0.5000 0.0000 0.5000 (multiplicity 1)  4 Se 2.48-2.49
3 Se 0.0304 0.7973 0.7276 (multiplicity 2)  1 S 2.32, 1 Se 2.40, 1 Pd 2.54
4 Se 0.0924 0.2583 0.7165 (multiplicity 2)  1 S 2.22, 1 Pd 2.48
5 Se 0.4179 0.1761 0.1943 (multiplicity 2)  1 Se 2.40, 1 Pd 2.49
6 S 0.2831 0.4476 0.7879 (multiplicity 2)  2 Se 2.22-2.32

Sorted by energy, starting with the most stable: *2*, *1*.

*1*
A plane-wave DFT calculation with PBE was carried out for an optimized crystal structure of Pd3SeS.

Unit cell a=4.5398 b=4.5398 c=4.5398 alpha=90.00 beta=90.00 gamma=90.00
Last column: nearest neighbours and their distance in Å.
Space group Pm-3m (No. 221)
Unique sites:
1 Pd 0.0000 0.0000 0.5000 (multiplicity 3)  2 S 2.27
2 Se 0.5000 0.5000 0.5000 (multiplicity 1)  12 Pd 3.21
3 S 0.0000 0.0000 0.0000 (multiplicity 1)  6 Pd 2.27

*2*
A plane-wave DFT calculation with PBE was carried out for an optimized crystal structure of Pd3SeS.

Unit cell a=5.3762 b=18.1882 c=5.0492 alpha=90.00 beta=90.00 gamma=90.00
Last column: nearest neighbours and their distance in Å.
Space group Cmcm (No. 63)
Unique sites:
1 Pd 0.0000 0.0000 0.0000 (multiplicity 4)  2 S 2.25
2 Pd 0.2428 0.2942 0.2500 (multiplicity 8)  1 S 2.33, 1 Se 2.46, 1 Pd 2.61
3 Se 0.0000 0.3178 0.7500 (multiplicity 4)  2 Pd 2.46
4 S 0.0000 0.1024 0.7500 (multiplicity 4)  4 Pd 2.25-2.33

Sorted by energy, starting with the most stable: *2*, *1*.